! BaPuIr | Alexandria | PBE | relaxed; values from VASP
&SYSTEM
  ibrav = 0, nat = 6, ntyp = 3
/
ATOMIC_SPECIES
Ba 137.33 Ba.upf
Pu 244.00 Pu.upf
Ir 192.22 Ir.upf
ATOMIC_POSITIONS angstrom
Ba 1.194 1.194 1.127
Ba 3.583 3.583 6.894
Pu 1.194 3.583 4.011
Pu 3.583 1.194 4.011
Ir 1.194 1.194 5.521
Ir 3.583 3.583 2.501
CELL_PARAMETERS angstrom
4.777 0.000 0.000
0.000 4.777 0.000
0.000 0.000 8.021
! electronic total energy	-51.8	eV for the cell shown
! ΔE_f	-76	kJ/mol of formula units
! DOS(E_F)	15.49	states/eV/cell
! calculated density	10.4	g/cm³